Here is a geometry-optimized TaBr2Cl structure from the Alexandria database. Energies are from GGA-PBEsol.

Values from the calculation:
- Total magnetic moment: 0.0 μB per formula unit
- Space group: P4mm, No. 99
- E: -4.88 eV/atom
- Crystal system: tetragonal
- Formation energy without anion corrections: -0.30 eV/atom
- E above lowest polymorph: 193 meV per atom

POSCAR file:
```
TaBr2Cl
1.0
3.0742 0.0000 0.0000
0.0000 3.0742 0.0000
0.0000 0.0000 8.8689
Ta Br Cl
1 2 1
Direct
0.0000 0.0000 0.0000
0.0000 0.0000 0.5054
0.5000 0.5000 0.1829
0.5000 0.5000 0.8316
```